VASP calculation (PBE) on an optimized crystal structure of La3Nd.

The structure in POSCAR format:
```
La3Nd
1.0
3.745 0.000 0.000
0.000 6.043 0.000
0.000 0.000 6.493
La Nd
3 1
direct
0.000 0.000 0.000
0.000 0.500 0.333
0.500 0.500 0.832
0.500 0.000 0.502
```

Output
The space group is Pmm2 (25). The energy relative to the elements comes out at 29 meV/atom. The calculation puts the total magnetic moment at 0.0 μB per formula unit.